A relaxed CeY2Bi3 crystal, computed with GGA-PBE.

abc: 4.5187 6.3988 7.8335
angles: 114.11 106.76 90.00
Closest atoms and distances in Å follow each position.
Fractional positions:
Y 0.6656 0.1656 0.3313  6 Bi 3.18-3.20
Y 0.3344 0.8344 0.6687  6 Bi 3.18-3.20
Bi 0.3304 0.3304 0.6607  4 Y 3.18-3.20, 2 Ce 3.23
Bi 0.6696 0.6696 0.3393  4 Y 3.18-3.20, 2 Ce 3.23
Bi 0.0000 0.0000 0.0000  4 Y 3.19, 2 Ce 3.20
Ce 0.0000 0.5000 0.0000  6 Bi 3.20-3.23

Its total DFT energy (no corrections) is -5.945 eV per atom. The density comes out at 8.00 g/cm3.